CsMgOs3: relaxed, PBEsol.

```
5
Lattice="4.7356 0.0000 0.0000 0.0000 4.7356 0.0000 0.0000 0.0000 4.7356" Properties=species:S:1:pos:R:3 pbc="T T T"
Os 0.0000 2.3678 0.0000
Os 2.3678 0.0000 0.0000
Mg 0.0000 0.0000 0.0000
Cs 2.3678 2.3678 2.3678
Os 0.0000 0.0000 2.3678
```

Summary:
Space-group type: Pm-3m
Calculated formation energy: 14.23 eV per formula unit
Magnetization: 0.684 μB per atom

CsMgOs3: relaxed, PBEsol.

```
5
Lattice="-0.4840 2.7420 4.0084 2.7523 -3.1641 2.4968 4.0014 2.5081 -1.2325" Properties=species:S:1:pos:R:3 pbc="T T T"
Cs 0.0000 0.0000 0.0000
Mg 3.1348 1.0430 2.6364
Os 2.0007 1.2540 -0.6162
Os 1.3761 -1.5820 1.2484
Os -0.2420 1.3710 2.0042
```

Summary:
Space-group type: Pm-3m
Calculated formation energy: 18.33 eV per formula unit
Magnetization: 0.326 μB per atom

CsMgP2S: relaxed, PBEsol.

```
5
Lattice="4.9680 0.0000 0.0000 0.0000 4.9680 0.0000 0.0000 0.0000 5.0114" Properties=species:S:1:pos:R:3 pbc="T T T"
P 0.0000 2.4840 0.0000
Mg 0.0000 0.0000 0.0000
P 2.4840 0.0000 0.0000
S 0.0000 0.0000 2.5057
Cs 2.4840 2.4840 2.5057
```

Summary:
Space-group type: P4/mmm
Raw formation energy: 5.310 kcal/mol of atoms
Magnetization: 0.003 μB per atom

| no. | VASP energy (eV/cell) | relative energy among the computed polymorphs (meV per atom) |
| --- | --- | --- |
| 1 | -25.08 | 0 |
| 2 | -20.98 | 820 |
| 3 | -17.48 | 0 |